1.
Compound: PaVCo2H6
Source: Alexandria
Functional: PBE
Structure: relaxed

Values from the calculation:
M_tot = 2.357 μB/f.u.
DOS(E_F) = 6.09 states/eV/cell
E = -5.58 eV per atom

Lattice parameters (Å, degrees): 4.3106 4.3106 5.4248 66.59 66.59 60.00
With the nearest neighbours (Å) after each atom.
Fractional coordinates of all 10 atoms:
Pa1 0.0000 0.0000 0.0000  12 H 2.37
V1 0.5000 0.5000 0.5000  6 H 1.85
Co1 0.7994 0.7994 0.6019  3 H 1.63
Co2 0.2006 0.2006 0.3981  3 H 1.63
H1 0.0882 0.5570 0.7978  1 Co 1.63
H2 0.5569 0.0882 0.7978  1 Co 1.63
H3 0.4430 0.4431 0.2022  1 Co 1.63
H4 0.9118 0.4430 0.2022  1 Co 1.63
H5 0.4431 0.9118 0.2022  1 Co 1.63
H6 0.5570 0.5569 0.7978  1 Co 1.63

***

2.
Compound: HfMgMnSe4
Source: Alexandria
Functional: PBE
Structure: relaxed

Values from the calculation:
M_tot = 4.967 μB/f.u.
DOS(E_F) = 1.42 states/eV/cell
ΔE_f (raw) = -996 meV/atom
E = -5.95 eV per atom

Lattice parameters (Å, degrees): 7.8365 7.9390 7.9390 58.92 60.43 60.43
With the nearest neighbours (Å) after each atom.
Fractional coordinates of all 14 atoms:
Hf1 0.5000 0.0000 0.5000  6 Se 2.68-2.70
Hf2 0.0000 0.0000 0.5000  6 Se 2.68-2.70
Mg1 0.6088 0.6412 0.1412  4 Se 2.56-2.62
Mg2 0.3912 0.3588 0.8588  4 Se 2.56-2.62
Mn1 0.0000 0.0000 0.0000  6 Se 2.65-2.81
Mn2 0.0000 0.5000 0.5000  6 Se 2.65-2.81
Se1 0.7530 0.7588 0.7352  1 Mg 2.62, 2 Hf 2.70, 1 Mn 2.81
Se2 0.2470 0.7648 0.7412  1 Mg 2.62, 2 Hf 2.70, 1 Mn 2.81
Se3 0.7530 0.2352 0.2588  1 Mg 2.62, 2 Hf 2.70, 1 Mn 2.81
Se4 0.2470 0.2412 0.2648  1 Mg 2.62, 2 Hf 2.70, 1 Mn 2.81
Se5 0.2129 0.7652 0.2652  1 Mg 2.56, 2 Mn 2.65, 1 Hf 2.68
Se6 0.7568 0.7652 0.2652  1 Mg 2.56, 2 Mn 2.65, 1 Hf 2.68
Se7 0.2432 0.2348 0.7348  1 Mg 2.56, 2 Mn 2.65, 1 Hf 2.68
Se8 0.7871 0.2348 0.7348  1 Mg 2.56, 2 Mn 2.65, 1 Hf 2.68

***

3.
Compound: NdThAgHg
Source: Alexandria
Functional: PBE
Structure: relaxed

Values from the calculation:
E_form = -0.212 eV/atom
M_tot = 0.345 μB/f.u.
DOS(E_F) = 4.47 states/eV/cell
E = -4.05 eV per atom

Lattice parameters (Å, degrees): 5.3608 5.3608 5.3608 60.00 60.00 60.00
With the nearest neighbours (Å) after each atom.
Fractional coordinates of all 4 atoms:
Ag1 0.2500 0.2500 0.2500  4 Th 3.28, 4 Nd 3.28
Nd1 0.0000 0.0000 0.0000  4 Hg 3.28, 4 Ag 3.28
Hg1 0.7500 0.7500 0.7500  4 Th 3.28, 4 Nd 3.28
Th1 0.5000 0.5000 0.5000  4 Ag 3.28, 4 Hg 3.28

***

4.
Compound: SmMgScTc
Source: Alexandria
Functional: PBE
Structure: relaxed

Values from the calculation:
E_form = 0.000 eV/atom
M_tot = 0.000 μB/f.u.
DOS(E_F) = 2.64 states/eV/cell
E = -5.75 eV per atom

Lattice parameters (Å, degrees): 4.9432 4.9432 4.9432 60.00 60.00 60.00
With the nearest neighbours (Å) after each atom.
Fractional coordinates of all 4 atoms:
Sc1 0.0000 0.0000 0.0000  4 Tc 3.03, 4 Mg 3.03
Mg1 0.7500 0.7500 0.7500  4 Sc 3.03, 4 Sm 3.03
Tc1 0.2500 0.2500 0.2500  4 Sm 3.03, 4 Sc 3.03
Sm1 0.5000 0.5000 0.5000  4 Mg 3.03, 4 Tc 3.03

***

5.
Compound: Tl4CdSn6
Source: Alexandria
Functional: PBE
Structure: relaxed

Values from the calculation:
E_form = 0.076 eV/atom
M_tot = 0.000 μB/f.u.
DOS(E_F) = 17.49 states/eV/cell
E = -3.05 eV per atom

Lattice parameters (Å, degrees): 6.3804 10.9780 10.9805 119.99 90.00 90.00
With the nearest neighbours (Å) after each atom.
Fractional coordinates of all 22 atoms:
Tl1 0.8901 0.6668 0.3335  1 Cd 3.00
Tl2 0.3901 0.3332 0.6665  1 Cd 3.00
Tl3 0.0771 0.8642 0.7284  4 Sn 3.24-3.38
Tl4 0.0777 0.2717 0.1358  4 Sn 3.24-3.38
Tl5 0.0777 0.8641 0.1358  4 Sn 3.24-3.38
Tl6 0.5771 0.1358 0.2716  4 Sn 3.24-3.38
Tl7 0.5777 0.7283 0.8642  4 Sn 3.24-3.38
Tl8 0.5777 0.1359 0.8642  4 Sn 3.24-3.38
Cd1 0.3597 0.6666 0.3332  1 Tl 3.00, 6 Sn 3.04-3.11
Cd2 0.8597 0.3334 0.6668  1 Tl 3.00, 6 Sn 3.04-3.11
Sn1 0.5735 0.8092 0.6183  1 Cd 3.04, 5 Tl 3.24-3.38, 2 Sn 3.29
Sn2 0.5742 0.3817 0.1908  1 Cd 3.04, 5 Tl 3.24-3.38, 2 Sn 3.29
Sn3 0.5742 0.8091 0.1908  1 Cd 3.04, 5 Tl 3.24-3.38, 2 Sn 3.29
Sn4 0.0735 0.1908 0.3817  1 Cd 3.04, 5 Tl 3.24-3.38, 2 Sn 3.29
Sn5 0.0742 0.6183 0.8092  1 Cd 3.04, 5 Tl 3.24-3.38, 2 Sn 3.29
Sn6 0.0742 0.1909 0.8092  1 Cd 3.04, 5 Tl 3.24-3.38, 2 Sn 3.29
Sn7 0.2749 0.5055 0.0109  1 Cd 3.11, 6 Sn 3.20-3.48, 1 Tl 3.36
Sn8 0.2738 0.9889 0.4945  1 Cd 3.11, 6 Sn 3.20-3.48, 1 Tl 3.36
Sn9 0.2738 0.5056 0.4945  1 Cd 3.11, 6 Sn 3.20-3.48, 1 Tl 3.36
Sn10 0.7749 0.4945 0.9891  1 Cd 3.11, 6 Sn 3.20-3.48, 1 Tl 3.36
Sn11 0.7738 0.0111 0.5055  1 Cd 3.11, 6 Sn 3.20-3.48, 1 Tl 3.36
Sn12 0.7738 0.4944 0.5055  1 Cd 3.11, 6 Sn 3.20-3.48, 1 Tl 3.36

***

6.
Compound: CaPr2Ge4Pt3
Source: Alexandria
Functional: PBE
Structure: relaxed

Values from the calculation:
E_form = -0.840 eV/atom
M_tot = 0.000 μB/f.u.
DOS(E_F) = 5.00 states/eV/cell
E = -5.65 eV per atom

Lattice parameters (Å, degrees): 4.3445 4.3445 11.2086 90.00 90.00 90.00
With the nearest neighbours (Å) after each atom.
Fractional coordinates of all 10 atoms:
Ca1 0.5000 0.5000 0.5000  4 Ge 2.84, 4 Pt 3.07
Pr1 0.5000 0.0000 0.2334  8 Ge 3.28-3.40, 4 Pt 3.34
Pr2 0.0000 0.5000 0.7666  8 Ge 3.28-3.40, 4 Pt 3.34
Ge1 0.5000 0.5000 0.0000  4 Pt 2.53
Ge2 0.0000 0.0000 0.0000  4 Pt 2.53
Ge3 0.5000 0.0000 0.6630  1 Pt 2.48
Ge4 0.0000 0.5000 0.3370  1 Pt 2.48
Pt1 0.0000 0.0000 0.5000  4 Ge 2.84, 4 Ca 3.07
Pt2 0.5000 0.0000 0.8839  5 Ge 2.48-2.53
Pt3 0.0000 0.5000 0.1161  5 Ge 2.48-2.53

***

7.
Compound: RbPuTlTe3
Source: Alexandria
Functional: PBE
Structure: relaxed

Values from the calculation:
M_tot = 4.435 μB/f.u.
DOS(E_F) = 25.59 states/eV/cell
ΔE_f (raw) = -768 meV/atom
E = -5.28 eV per atom

Lattice parameters (Å, degrees): 4.4925 10.0971 10.6907 103.65 90.00 90.00
With the nearest neighbours (Å) after each atom.
Fractional coordinates of all 12 atoms:
Rb1 0.2500 0.1804 0.2186  5 Te 3.66-3.92, 1 Tl 3.75
Rb2 0.7500 0.8196 0.7814  5 Te 3.66-3.92, 1 Tl 3.75
Pu1 0.2500 0.6481 0.1547  6 Te 3.06-3.12
Pu2 0.7500 0.3519 0.8453  6 Te 3.06-3.12
Tl1 0.2500 0.1235 0.5531  3 Te 3.08-3.09, 2 Tl 3.35
Tl2 0.7500 0.8765 0.4469  3 Te 3.08-3.09, 2 Tl 3.35
Te1 0.7500 0.8627 0.1560  1 Tl 3.08, 2 Pu 3.12
Te2 0.2500 0.1373 0.8440  1 Tl 3.08, 2 Pu 3.12
Te3 0.2500 0.6652 0.4445  1 Pu 3.06, 2 Tl 3.09
Te4 0.7500 0.3348 0.5555  1 Pu 3.06, 2 Tl 3.09
Te5 0.7500 0.4367 0.1414  3 Pu 3.08
Te6 0.2500 0.5633 0.8586  3 Pu 3.08

***

8.
Compound: Pm4NdIn2
Source: Alexandria
Functional: PBE
Structure: relaxed

Values from the calculation:
excess energy over the best structure of this formula in the dataset = 2.23 eV/f.u.
E_form = 0.086 eV/atom
M_tot = 0.000 μB/f.u.
DOS(E_F) = 10.36 states/eV/cell
E = -4.09 eV per atom

Lattice parameters (Å, degrees): 5.9907 5.9907 7.6512 113.05 113.05 90.00
With the nearest neighbours (Å) after each atom.
Fractional coordinates of all 7 atoms:
Pm1 0.7500 0.2500 0.5000  2 Pm 3.19, 4 In 3.39
Pm2 0.2500 0.7500 0.5000  2 Pm 3.19, 4 In 3.39
Pm3 0.5000 0.0000 0.0000  2 Nd 3.00, 2 Pm 3.19
Pm4 0.0000 0.5000 0.0000  2 Nd 3.00, 2 Pm 3.19
Nd1 0.0000 0.0000 0.0000  4 Pm 3.00
In1 0.6249 0.6249 0.2498  1 In 3.18, 8 Pm 3.39
In2 0.3751 0.3751 0.7502  1 In 3.18, 8 Pm 3.39